1.
The following is a PBE-GGA calculation of a geometry-optimized K2BiIr structure, from the Alexandria database. Values from VASP.

Properties
Magnetic moment   0.00 μB/f.u.
Energy of formation   207 meV/atom
Total energy   -28.22 eV for the cell shown
SG   I-42d (122)

```
&SYSTEM
  ibrav = 0, nat = 8, ntyp = 3
/
ATOMIC_SPECIES
K 39.10 K.upf
Bi 208.98 Bi.upf
Ir 192.22 Ir.upf
ATOMIC_POSITIONS angstrom
K -0.435 3.168 0.637
K 3.168 5.901 1.911
K 0.435 9.505 0.637
K -3.168 6.771 1.911
Bi 6.336 0.000 1.274
Bi 0.000 0.000 2.548
Ir 0.000 0.000 0.000
Ir 0.000 6.336 1.274
CELL_PARAMETERS angstrom
-6.336 6.336 2.548
6.336 -6.336 2.548
6.336 6.336 -2.548
```

=====

2.
The following is a PBE-GGA calculation of a geometry-optimized KLi2BiIr structure, from the Alexandria database. Values from VASP.

Properties
Magnetic moment   0.00 μB/f.u.
Energy of formation   250 meV/atom
Total energy   -16.42 eV for the cell shown
SG   P4/mmm (123)

```
&SYSTEM
  ibrav = 0, nat = 5, ntyp = 4
/
ATOMIC_SPECIES
K 39.10 K.upf
Li 6.94 Li.upf
Bi 208.98 Bi.upf
Ir 192.22 Ir.upf
ATOMIC_POSITIONS angstrom
K 0.000 0.000 0.000
Li 0.000 2.675 2.569
Li 2.675 0.000 2.569
Bi 2.675 2.675 2.569
Ir 2.675 2.675 0.000
CELL_PARAMETERS angstrom
5.350 0.000 0.000
0.000 5.350 0.000
0.000 0.000 5.138
```